# 1
# Th2BiSb

Crystalline Th2BiSb at its relaxed geometry (GGA-PBE, Alexandria).

Results
**D(E_F)**: 0.88 states/eV per atom
**DFT total energy**: -6.387 eV/atom
**Formation energy from raw total energies**: -65.2 kJ/mol of atoms
**Space-group type**: P4/mmm, No. 123

a b c (Å): 3.9006 3.9006 7.8167
angles (deg): 90.00 90.00 90.00
Last column: nearest neighbours and their distance in Å.
Positions (direct):
Bi 0.5000 0.5000 0.5000  8 Th 3.41
Th 0.0000 0.0000 0.2445  4 Sb 3.36, 4 Bi 3.41
Th 0.0000 0.0000 0.7555  4 Sb 3.36, 4 Bi 3.41
Sb 0.5000 0.5000 0.0000  8 Th 3.36



# 2
# Th3Bi2Sb

Crystalline Th3Bi2Sb at its relaxed geometry (GGA-PBE, Alexandria).

Results
**D(E_F)**: 0.73 states/eV per atom
**DFT total energy**: -6.365 eV/atom
**Formation energy from raw total energies**: -65.1 kJ/mol of atoms
**Space-group type**: Immm, No. 71

a b c (Å): 4.5667 6.4438 7.9193
angles (deg): 114.01 106.76 90.00
Last column: nearest neighbours and their distance in Å.
Positions (direct):
Th 0.5000 0.0000 0.5000  2 Sb 3.22, 4 Bi 3.26
Th 0.8413 0.3413 0.1825  2 Sb 3.16, 4 Bi 3.23-3.28
Th 0.1587 0.6587 0.8175  2 Sb 3.16, 4 Bi 3.23-3.28
Bi 0.8302 0.8302 0.1603  6 Th 3.23-3.28
Bi 0.1698 0.1698 0.8397  6 Th 3.23-3.28
Sb 0.5000 0.5000 0.5000  6 Th 3.16-3.22



# 3
# Th4Bi2Sb

Crystalline Th4Bi2Sb at its relaxed geometry (GGA-PBE, Alexandria).

Results
**D(E_F)**: 0.90 states/eV per atom
**DFT total energy**: -6.293 eV/atom
**Formation energy from raw total energies**: -34.3 kJ/mol of atoms
**Space-group type**: Cmcm, No. 63

a b c (Å): 4.3092 7.5522 15.1338
angles (deg): 90.00 90.00 106.58
Last column: nearest neighbours and their distance in Å.
Positions (direct):
Th 0.5000 0.0000 0.5000  4 Bi 3.25
Th 0.8025 0.6050 0.1484  1 Th 3.08, 3 Bi 3.14-3.32, 2 Sb 3.26
Th 0.8025 0.6050 0.3516  1 Th 3.08, 3 Bi 3.14-3.32, 2 Sb 3.26
Th 0.1975 0.3950 0.8516  1 Th 3.08, 3 Bi 3.14-3.32, 2 Sb 3.26
Th 0.5000 0.0000 0.0000  4 Bi 3.25
Th 0.0920 0.1840 0.2500  2 Bi 3.10, 2 Sb 3.14
Th 0.9080 0.8160 0.7500  2 Bi 3.10, 2 Sb 3.14
Th 0.1975 0.3950 0.6484  1 Th 3.08, 3 Bi 3.14-3.32, 2 Sb 3.26
Bi 0.1576 0.3152 0.0553  6 Th 3.10-3.32
Bi 0.8424 0.6848 0.9447  6 Th 3.10-3.32
Bi 0.8424 0.6848 0.5553  6 Th 3.10-3.32
Bi 0.1576 0.3152 0.4447  6 Th 3.10-3.32
Sb 0.4345 0.8690 0.2500  6 Th 3.14-3.26
Sb 0.5655 0.1310 0.7500  6 Th 3.14-3.26



# 4
# Th5Bi4Sb

Crystalline Th5Bi4Sb at its relaxed geometry (GGA-PBE, Alexandria).

Results
**D(E_F)**: 0.88 states/eV per atom
**DFT total energy**: -6.301 eV/atom
**Formation energy from raw total energies**: -60.5 kJ/mol of atoms
**Space-group type**: I4/m, No. 87

a b c (Å): 6.4772 7.9304 7.9304
angles (deg): 80.40 65.90 65.90
Last column: nearest neighbours and their distance in Å.
Positions (direct):
Bi 0.8039 0.7929 0.6013  6 Th 3.24-3.28
Bi 0.1981 0.2071 0.3987  6 Th 3.24-3.28
Bi 0.5968 0.6013 0.2071  6 Th 3.24-3.28
Bi 0.4052 0.3987 0.7929  6 Th 3.24-3.28
Th 0.7101 0.1912 0.3905  1 Sb 3.15, 5 Bi 3.24-3.28
Th 0.5013 0.0000 0.0000  2 Sb 3.24, 4 Bi 3.25
Th 0.9013 0.3905 0.8088  1 Sb 3.15, 5 Bi 3.24-3.28
Th 0.2918 0.8088 0.6095  1 Sb 3.15, 5 Bi 3.24-3.28
Th 0.1006 0.6095 0.1912  1 Sb 3.15, 5 Bi 3.24-3.28
Sb 0.0013 0.0000 0.0000  6 Th 3.15-3.24



Which formula does entry 4 have?
Th5Bi4Sb